Record 1
DFT (meta-GGA SCAN) results for a crystal of Ru2Cl relaxed with PBEsol.

abc: 2.834 4.032 9.657
angles: 102.05 90.00 90.00
Sites, in units of the cell vectors:
Cl: 0.250 0.915 0.829
Cl: 0.750 0.085 0.171
Ru: 0.250 0.653 0.307
Ru: 0.750 0.347 0.693
Ru: 0.250 0.237 0.473
Ru: 0.750 0.763 0.527

* symmetry: Cmcm, No. 63
* ΔE to the lowest computed polymorph: 0 meV per atom

=====

Record 2
DFT (meta-GGA SCAN) results for a crystal of RuCl5 relaxed with PBEsol.

abc: 2.869 2.869 15.147
angles: 90.00 90.00 90.00
Sites, in units of the cell vectors:
Cl: 0.000 0.000 0.903
Cl: 0.000 0.000 0.097
Cl: 0.500 0.500 0.720
Cl: 0.500 0.500 0.280
Cl: 0.000 0.000 0.500
Ru: 0.500 0.500 0.000

* symmetry: P4/mmm, No. 123

=====

no.,formation energy from raw total energies (eV/f.u.),total moment (μB/f.u.)
1,1.42,0.00
2,2.90,0.01